# PrHBrF (PBE-GGA, relaxed)
data_PrHBrF
_chemical_formula_sum 'Pr1 H1 Br1 F1'
_cell_length_a 5.993
_cell_length_b 5.993
_cell_length_c 5.993
_cell_angle_alpha 140.92
_cell_angle_beta 140.01
_cell_angle_gamma 57.15
_symmetry_space_group_name_H-M 'P 1'
_symmetry_Int_Tables_number 1
loop_
_symmetry_equiv_pos_as_xyz
'x,y,z'
loop_
_atom_site_label
_atom_site_fract_x
_atom_site_fract_y
_atom_site_fract_z
_atom_site_occupancy
Pr1 0.000 0.000 0.000 1
H1 0.915 0.415 0.500 1
Br1 0.655 0.655 0.000 1
F1 0.405 0.905 0.500 1
# Space-group type   Imm2
# Raw total energy   -4.94 eV/atom


# CeSi2Pd2Pt (PBE-GGA, relaxed)
data_CeSi2Pd2Pt
_chemical_formula_sum 'Ce1 Si2 Pd2 Pt1'
_cell_length_a 4.622
_cell_length_b 4.622
_cell_length_c 5.612
_cell_angle_alpha 90.00
_cell_angle_beta 90.00
_cell_angle_gamma 90.00
_symmetry_space_group_name_H-M 'P 1'
_symmetry_Int_Tables_number 1
loop_
_symmetry_equiv_pos_as_xyz
'x,y,z'
loop_
_atom_site_label
_atom_site_fract_x
_atom_site_fract_y
_atom_site_fract_z
_atom_site_occupancy
Ce1 0.000 0.000 0.000 1
Si1 0.000 0.500 0.500 1
Si2 0.500 0.000 0.500 1
Pd1 0.500 0.500 0.250 1
Pd2 0.500 0.500 0.750 1
Pt1 0.000 0.000 0.500 1
# Space-group type   P4/mmm
# Raw total energy   -5.94 eV/atom
# ΔE_f (raw)   -0.41 eV per atom


# Ta2CuAg (PBE-GGA, relaxed)
data_Ta2CuAg
_chemical_formula_sum 'Ta2 Cu1 Ag1'
_cell_length_a 2.817
_cell_length_b 2.817
_cell_length_c 8.383
_cell_angle_alpha 90.00
_cell_angle_beta 90.00
_cell_angle_gamma 90.00
_symmetry_space_group_name_H-M 'P 1'
_symmetry_Int_Tables_number 1
loop_
_symmetry_equiv_pos_as_xyz
'x,y,z'
loop_
_atom_site_label
_atom_site_fract_x
_atom_site_fract_y
_atom_site_fract_z
_atom_site_occupancy
Ta1 0.000 0.000 0.000 1
Ta2 0.500 0.500 0.271 1
Cu1 0.500 0.500 0.771 1
Ag1 0.000 0.000 0.541 1
# Energy above the most stable polymorph in this dataset   6 meV per atom
# Space-group type   P4mm
# DFT formation energy   0.50 eV per formula unit
# Raw total energy   -7.54 eV/atom


# Na2Li2In3 (PBE-GGA, relaxed)
data_Na2Li2In3
_chemical_formula_sum 'Na2 Li2 In3'
_cell_length_a 5.094
_cell_length_b 5.094
_cell_length_c 7.772
_cell_angle_alpha 109.31
_cell_angle_beta 109.31
_cell_angle_gamma 60.20
_symmetry_space_group_name_H-M 'P 1'
_symmetry_Int_Tables_number 1
loop_
_symmetry_equiv_pos_as_xyz
'x,y,z'
loop_
_atom_site_label
_atom_site_fract_x
_atom_site_fract_y
_atom_site_fract_z
_atom_site_occupancy
Na1 0.080 0.080 0.242 1
Na2 0.920 0.920 0.758 1
Li1 0.219 0.219 0.655 1
Li2 0.781 0.781 0.345 1
In1 0.357 0.357 0.071 1
In2 0.500 0.500 0.500 1
In3 0.643 0.643 0.929 1
# Space-group type   C2/m
# DFT formation energy   -1.14 eV per formula unit
# Raw total energy   -2.26 eV/atom


# BaNi2Au (PBE-GGA, relaxed)
data_BaNi2Au
_chemical_formula_sum 'Ba1 Ni2 Au1'
_cell_length_a 5.499
_cell_length_b 5.499
_cell_length_c 5.499
_cell_angle_alpha 135.63
_cell_angle_beta 135.63
_cell_angle_gamma 64.56
_symmetry_space_group_name_H-M 'P 1'
_symmetry_Int_Tables_number 1
loop_
_symmetry_equiv_pos_as_xyz
'x,y,z'
loop_
_atom_site_label
_atom_site_fract_x
_atom_site_fract_y
_atom_site_fract_z
_atom_site_occupancy
Ba1 0.000 0.000 0.000 1
Ni1 0.250 0.750 0.500 1
Ni2 0.500 0.500 0.000 1
Au1 0.750 0.250 0.500 1
# Energy above the most stable polymorph in this dataset   581 meV per atom
# Space-group type   I-4m2
# DFT formation energy   1.57 eV per formula unit
# Raw total energy   -3.80 eV/atom


# Sb4AuCl (PBE-GGA, relaxed)
data_Sb4AuCl
_chemical_formula_sum 'Sb4 Au1 Cl1'
_cell_length_a 6.196
_cell_length_b 6.196
_cell_length_c 6.196
_cell_angle_alpha 60.00
_cell_angle_beta 60.00
_cell_angle_gamma 60.00
_symmetry_space_group_name_H-M 'P 1'
_symmetry_Int_Tables_number 1
loop_
_symmetry_equiv_pos_as_xyz
'x,y,z'
loop_
_atom_site_label
_atom_site_fract_x
_atom_site_fract_y
_atom_site_fract_z
_atom_site_occupancy
Sb1 0.381 0.381 0.381 1
Sb2 0.381 0.381 0.857 1
Sb3 0.381 0.857 0.381 1
Sb4 0.857 0.381 0.381 1
Au1 0.000 0.000 0.000 1
Cl1 0.750 0.750 0.750 1
# Space-group type   F-43m
# Raw total energy   -3.29 eV/atom
# ΔE_f (raw)   0.32 eV per atom


# Ca2TcRu (PBE-GGA, relaxed)
data_Ca2TcRu
_chemical_formula_sum 'Ca2 Tc1 Ru1'
_cell_length_a 9.690
_cell_length_b 9.690
_cell_length_c 9.690
_cell_angle_alpha 18.40
_cell_angle_beta 18.40
_cell_angle_gamma 18.40
_symmetry_space_group_name_H-M 'P 1'
_symmetry_Int_Tables_number 1
loop_
_symmetry_equiv_pos_as_xyz
'x,y,z'
loop_
_atom_site_label
_atom_site_fract_x
_atom_site_fract_y
_atom_site_fract_z
_atom_site_occupancy
Ca1 0.247 0.247 0.247 1
Ca2 0.753 0.753 0.753 1
Tc1 0.000 0.000 0.000 1
Ru1 0.500 0.500 0.500 1
# Energy above the most stable polymorph in this dataset   520 meV per atom
# Space-group type   R-3m
# DFT formation energy   2.94 eV per formula unit
# Raw total energy   -5.18 eV/atom


# Cd2GaSn (PBE-GGA, relaxed)
data_Cd2GaSn
_chemical_formula_sum 'Cd4 Ga2 Sn2'
_cell_length_a 4.514
_cell_length_b 4.021
_cell_length_c 10.422
_cell_angle_alpha 90.00
_cell_angle_beta 94.43
_cell_angle_gamma 90.00
_symmetry_space_group_name_H-M 'P 1'
_symmetry_Int_Tables_number 1
loop_
_symmetry_equiv_pos_as_xyz
'x,y,z'
loop_
_atom_site_label
_atom_site_fract_x
_atom_site_fract_y
_atom_site_fract_z
_atom_site_occupancy
Cd1 0.026 0.250 0.376 1
Cd2 0.468 0.250 0.618 1
Cd3 0.532 0.750 0.382 1
Cd4 0.974 0.750 0.624 1
Ga1 0.391 0.750 0.870 1
Ga2 0.609 0.250 0.130 1
Sn1 0.120 0.750 0.128 1
Sn2 0.880 0.250 0.872 1
# Energy above the most stable polymorph in this dataset   0 meV per atom
# Space-group type   P2_1/m
# DFT formation energy   0.21 eV per formula unit
# Raw total energy   -2.16 eV/atom


# Ba4SrPa3O12 (PBE-GGA, relaxed)
data_Ba4SrPa3O12
_chemical_formula_sum 'Ba4 Sr1 Pa3 O12'
_cell_length_a 7.826
_cell_length_b 7.826
_cell_length_c 7.826
_cell_angle_alpha 109.47
_cell_angle_beta 109.47
_cell_angle_gamma 109.47
_symmetry_space_group_name_H-M 'P 1'
_symmetry_Int_Tables_number 1
loop_
_symmetry_equiv_pos_as_xyz
'x,y,z'
loop_
_atom_site_label
_atom_site_fract_x
_atom_site_fract_y
_atom_site_fract_z
_atom_site_occupancy
Ba1 0.000 0.000 0.500 1
Ba2 0.000 0.500 0.000 1
Ba3 0.500 0.000 0.000 1
Ba4 0.500 0.500 0.500 1
Sr1 0.000 0.000 0.000 1
Pa1 0.000 0.500 0.500 1
Pa2 0.500 0.000 0.500 1
Pa3 0.500 0.500 0.000 1
O1 0.000 0.267 0.267 1
O2 0.000 0.733 0.733 1
O3 0.250 0.500 0.750 1
O4 0.250 0.750 0.500 1
O5 0.267 0.000 0.267 1
O6 0.267 0.267 0.000 1
O7 0.500 0.250 0.750 1
O8 0.500 0.750 0.250 1
O9 0.733 0.000 0.733 1
O10 0.733 0.733 0.000 1
O11 0.750 0.250 0.500 1
O12 0.750 0.500 0.250 1
# Space-group type   Im-3m
# Raw total energy   -8.07 eV/atom
# ΔE_f (raw)   -3.20 eV per atom


# Tb2Dy2Mg5Sc (PBE-GGA, relaxed)
data_Tb2Dy2Mg5Sc
_chemical_formula_sum 'Tb4 Dy4 Mg10 Sc2'
_cell_length_a 10.519
_cell_length_b 10.519
_cell_length_c 4.936
_cell_angle_alpha 90.00
_cell_angle_beta 90.00
_cell_angle_gamma 90.00
_symmetry_space_group_name_H-M 'P 1'
_symmetry_Int_Tables_number 1
loop_
_symmetry_equiv_pos_as_xyz
'x,y,z'
loop_
_atom_site_label
_atom_site_fract_x
_atom_site_fract_y
_atom_site_fract_z
_atom_site_occupancy
Tb1 0.177 0.323 0.000 1
Tb2 0.323 0.823 0.000 1
Tb3 0.677 0.177 0.000 1
Tb4 0.823 0.677 0.000 1
Dy1 0.121 0.621 0.000 1
Dy2 0.379 0.121 0.000 1
Dy3 0.621 0.879 0.000 1
Dy4 0.879 0.379 0.000 1
Mg1 0.000 0.500 0.500 1
Mg2 0.070 0.808 0.500 1
Mg3 0.192 0.070 0.500 1
Mg4 0.308 0.570 0.500 1
Mg5 0.430 0.308 0.500 1
Mg6 0.500 0.000 0.500 1
Mg7 0.570 0.692 0.500 1
Mg8 0.692 0.430 0.500 1
Mg9 0.808 0.930 0.500 1
Mg10 0.930 0.192 0.500 1
Sc1 0.000 0.000 0.000 1
Sc2 0.500 0.500 0.000 1
# Space-group type   P4/mbm
# DFT formation energy   0.98 eV per formula unit
# Raw total energy   -3.18 eV/atom


# V2CrTe4 (PBE-GGA, relaxed)
data_V2CrTe4
_chemical_formula_sum 'V2 Cr1 Te4'
_cell_length_a 7.237
_cell_length_b 7.237
_cell_length_c 6.976
_cell_angle_alpha 117.57
_cell_angle_beta 117.57
_cell_angle_gamma 32.18
_symmetry_space_group_name_H-M 'P 1'
_symmetry_Int_Tables_number 1
loop_
_symmetry_equiv_pos_as_xyz
'x,y,z'
loop_
_atom_site_label
_atom_site_fract_x
_atom_site_fract_y
_atom_site_fract_z
_atom_site_occupancy
V1 0.000 0.000 0.000 1
V2 0.745 0.745 0.724 1
Cr1 0.485 0.485 0.444 1
Te1 0.112 0.112 0.754 1
Te2 0.376 0.376 0.694 1
Te3 0.625 0.625 0.272 1
Te4 0.860 0.860 0.176 1
# Energy above the most stable polymorph in this dataset   0 meV per atom
# Space-group type   Cm
# Raw total energy   -6.04 eV/atom
# ΔE_f (raw)   -0.27 eV per atom